No. 1
The following is a PBE-GGA calculation of crystalline BaAgSnAuSe4 at its relaxed geometry, from OQMD via LeMat-Bulk.

The structure in POSCAR format:
```
BaAgSnAuSe4
1.0
-6.6181 1.1587 0.5762
-2.0361 -0.5601 -6.4042
2.8619 -5.5107 3.2354
Se Ag Au Sn Ba
4 1 1 1 1
direct
0.4951 0.1381 0.1092 Se
0.1339 0.4955 0.5267 Se
0.8619 0.5049 0.8908 Se
0.5045 0.8661 0.4733 Se
0.3275 0.6725 0.0000 Ag
0.6777 0.3223 0.0000 Au
0.4992 0.5008 0.5000 Sn
0.0003 0.9997 0.5000 Ba
```

energy: -31.77 eV/cell

No. 2
The following is a PBE-GGA calculation of crystalline Ta2Co2SiGe at its relaxed geometry, from OQMD via LeMat-Bulk.

The structure in POSCAR format:
```
Ta2Co2SiGe
1.0
10.1871 0.0000 0.0000
0.0000 4.1562 0.0000
-3.4266 0.0000 9.5992
Ge Co Ta Si
4 8 8 4
direct
0.7494 0.0000 0.0012 Ge
0.1254 0.5000 0.1269 Ge
0.5001 0.0000 0.2520 Ge
0.2527 0.0000 0.5014 Ge
0.8712 0.5000 0.8700 Co
0.6284 0.5000 0.1257 Co
0.7536 0.0000 0.5032 Co
0.2504 0.0000 0.9990 Co
0.3762 0.5000 0.3760 Co
0.4962 0.0000 0.7499 Co
0.1239 0.5000 0.6286 Co
0.9996 0.0000 0.2478 Co
0.5048 0.0000 0.5048 Ta
0.1207 0.5000 0.3770 Ta
0.6213 0.5000 0.8710 Ta
0.9993 0.0000 0.9936 Ta
0.3761 0.5000 0.1205 Ta
0.7533 0.0000 0.2541 Ta
0.8755 0.5000 0.6253 Ta
0.2486 0.0000 0.7526 Ta
0.8731 0.5000 0.3769 Si
0.6278 0.5000 0.6254 Si
0.3738 0.5000 0.8717 Si
0.9986 0.0000 0.7456 Si
```

energy: -184.57 eV/cell
magnetization: 0.69 μB/cell